# PBE Pm2YPu, optimized geometry
data_Pm2YPu
_symmetry_space_group_name_H-M 'P 1'
_symmetry_Int_Tables_number 1
_cell_length_a 3.502
_cell_length_b 3.502
_cell_length_c 12.570
_cell_angle_alpha 81.99
_cell_angle_beta 81.99
_cell_angle_gamma 60.00
loop_
_symmetry_equiv_pos_as_xyz
'x,y,z'
loop_
_atom_site_label
_atom_site_type_symbol
_atom_site_fract_x
_atom_site_fract_y
_atom_site_fract_z
Y1 Y 0.500 0.500 0.500
Pm1 Pm 0.088 0.088 0.736
Pu1 Pu 0.000 0.000 0.000
Pm2 Pm 0.912 0.912 0.264
# Uncorrected energy   -7.31 eV per atom
# Formation energy   0.27 eV per atom
# Magnetization   1.638 μB per atom
# ΔE to the lowest computed polymorph   157 meV/atom